# GGA+U Sr2Fe3SbP6O24, optimized geometry
data_Sr2Fe3SbP6O24
_chemical_formula_sum 'Sr2 Fe3 Sb1 P6 O24'
_space_group_name_H-M_alt 'P 1'
_space_group_IT_number 1
_space_group_name_Hall 'P 1'
_cell_length_a 9.107
_cell_length_b 9.107
_cell_length_c 9.107
_cell_angle_alpha 55.94
_cell_angle_beta 55.94
_cell_angle_gamma 55.94
loop_
_atom_site_label
_atom_site_type_symbol
_atom_site_fract_x
_atom_site_fract_y
_atom_site_fract_z
O1 O 0.898 0.105 0.263
O2 O 0.539 0.442 0.797
O3 O 0.797 0.539 0.442
O4 O 0.442 0.797 0.539
O5 O 0.467 0.548 0.209
O6 O 0.243 0.144 0.526
O7 O 0.209 0.467 0.548
O8 O 0.378 0.210 0.994
O9 O 0.548 0.209 0.467
O10 O 0.910 0.733 0.091
O11 O 0.864 0.477 0.746
O12 O 0.210 0.994 0.378
O13 O 0.091 0.910 0.733
O14 O 0.746 0.864 0.477
O15 O 0.144 0.526 0.243
O16 O 0.621 0.780 0.017
O17 O 0.780 0.017 0.621
O18 O 0.263 0.898 0.105
O19 O 0.477 0.746 0.864
O20 O 0.017 0.621 0.780
O21 O 0.994 0.378 0.210
O22 O 0.105 0.263 0.898
O23 O 0.733 0.091 0.910
O24 O 0.526 0.243 0.144
Sb1 Sb 0.350 0.350 0.350
P1 P 0.959 0.540 0.248
P2 P 0.038 0.459 0.751
P3 P 0.540 0.248 0.959
P4 P 0.751 0.038 0.459
P5 P 0.248 0.959 0.540
P6 P 0.459 0.751 0.038
Sr1 Sr 0.000 0.000 0.000
Sr2 Sr 0.505 0.505 0.505
Fe1 Fe 0.850 0.850 0.850
Fe2 Fe 0.652 0.652 0.652
Fe3 Fe 0.147 0.147 0.147
# VASP energy (eV/atom): -7.069
# SG: R3 (146)